(1)
Computed, not measured: a geometry-optimized LaTbIr4 structure at the PBE-GGA level of DFT.

Structure (extended XYZ):
```
6
Lattice="0.000 3.835 3.835 3.835 0.000 3.835 3.835 3.835 0.000" Properties=species:S:1:pos:R:3 pbc="T T T"
La 0.000 0.000 0.000
Tb 1.917 1.917 1.917
Ir 4.792 2.878 2.878
Ir 2.878 4.792 2.878
Ir 2.878 2.878 4.792
Ir 4.792 4.792 4.792
```

Calculated values
- M_tot: 0.000 Bohr magnetons per cell
- ΔE_f: -743 meV/atom

***

(2)
Computed, not measured: a geometry-optimized LaTb8Ir6 structure at the PBE-GGA level of DFT.

Structure (extended XYZ):
```
15
Lattice="4.179 2.413 6.048 -4.179 2.413 6.048 0.000 -4.825 6.048" Properties=species:S:1:pos:R:3 pbc="T T T"
La 0.000 0.000 0.000
Tb -1.464 -2.373 8.089
Tb -2.787 0.081 10.055
Tb 0.000 0.000 6.101
Tb -1.323 2.454 8.089
Tb 1.323 -2.454 10.055
Tb 0.000 0.000 12.043
Tb 2.787 -0.081 8.089
Tb 1.464 2.373 10.055
Ir -2.776 -0.002 7.095
Ir -1.386 -2.405 11.049
Ir 1.390 -2.403 7.095
Ir -1.390 2.403 11.049
Ir 1.386 2.405 7.095
Ir 2.776 0.002 11.049
```

Calculated values
- M_tot: 0.000 Bohr magnetons per cell
- ΔE_f: -743 meV/atom

***

(3)
Computed, not measured: a geometry-optimized LaTbIr2 structure at the PBE-GGA level of DFT.

Structure (extended XYZ):
```
4
Lattice="3.453 0.000 0.000 0.000 3.453 0.000 0.000 0.000 7.298" Properties=species:S:1:pos:R:3 pbc="T T T"
La 0.000 0.000 0.000
Tb 0.000 0.000 3.649
Ir 1.726 1.726 1.942
Ir 1.726 1.726 5.356
```

Calculated values
- M_tot: 0.007 Bohr magnetons per cell
- ΔE_f: -649 meV/atom

***

(4)
Computed, not measured: a geometry-optimized La3TbIr structure at the PBE-GGA level of DFT.

Structure (extended XYZ):
```
5
Lattice="5.677 0.000 0.000 0.000 5.677 0.000 0.000 0.000 5.677" Properties=species:S:1:pos:R:3 pbc="T T T"
La 0.000 0.000 2.839
La 0.000 2.839 0.000
La 2.839 0.000 0.000
Tb 2.839 2.839 2.839
Ir 0.000 0.000 0.000
```

Calculated values
- M_tot: 0.003 Bohr magnetons per cell
- ΔE_f: -206 meV/atom

***

(5)
Computed, not measured: a geometry-optimized LaTb3Ir structure at the PBE-GGA level of DFT.

Structure (extended XYZ):
```
5
Lattice="5.492 0.000 0.000 0.000 5.492 0.000 0.000 0.000 5.492" Properties=species:S:1:pos:R:3 pbc="T T T"
La 0.000 0.000 0.000
Tb 0.000 2.746 2.746
Tb 2.746 0.000 2.746
Tb 2.746 2.746 0.000
Ir 2.746 2.746 2.746
```

Calculated values
- M_tot: 0.012 Bohr magnetons per cell
- ΔE_f: -290 meV/atom

***

(6)
Computed, not measured: a geometry-optimized LaTbIr2 structure at the PBE-GGA level of DFT.

Structure (extended XYZ):
```
16
Lattice="7.044 0.000 0.000 0.000 7.044 0.000 0.000 0.000 7.044" Properties=species:S:1:pos:R:3 pbc="T T T"
La 0.000 0.000 0.000
La 0.000 3.522 3.522
La 3.522 0.000 3.522
La 3.522 3.522 0.000
Tb 0.000 0.000 3.522
Tb 0.000 3.522 0.000
Tb 3.522 0.000 0.000
Tb 3.522 3.522 3.522
Ir 1.761 1.761 1.761
Ir 1.761 1.761 5.283
Ir 1.761 5.283 1.761
Ir 1.761 5.283 5.283
Ir 5.283 1.761 1.761
Ir 5.283 1.761 5.283
Ir 5.283 5.283 1.761
Ir 5.283 5.283 5.283
```

Calculated values
- M_tot: 0.000 Bohr magnetons per cell
- ΔE_f: -644 meV/atom

***

(7)
Computed, not measured: a geometry-optimized LaTbTlIr structure at the PBE-GGA level of DFT.

Structure (extended XYZ):
```
16
Lattice="7.413 0.000 0.000 0.000 7.413 0.000 0.000 0.000 7.413" Properties=species:S:1:pos:R:3 pbc="T T T"
La 0.000 0.000 0.000
La 0.000 3.706 3.706
La 3.706 0.000 3.706
La 3.706 3.706 0.000
Tb 0.000 0.000 3.706
Tb 0.000 3.706 0.000
Tb 3.706 0.000 0.000
Tb 3.706 3.706 3.706
Tl 1.853 1.853 1.853
Tl 1.853 5.559 5.559
Tl 5.559 1.853 5.559
Tl 5.559 5.559 1.853
Ir 1.853 1.853 5.559
Ir 1.853 5.559 1.853
Ir 5.559 1.853 1.853
Ir 5.559 5.559 5.559
```

Calculated values
- M_tot: 0.000 Bohr magnetons per cell
- ΔE_f: -399 meV/atom

***

(8)
Computed, not measured: a geometry-optimized LaTbZnIr structure at the PBE-GGA level of DFT.

Structure (extended XYZ):
```
16
Lattice="7.173 0.000 0.000 0.000 7.173 0.000 0.000 0.000 7.173" Properties=species:S:1:pos:R:3 pbc="T T T"
La 0.000 0.000 0.000
La 0.000 3.587 3.587
La 3.587 0.000 3.587
La 3.587 3.587 0.000
Tb 0.000 0.000 3.587
Tb 0.000 3.587 0.000
Tb 3.587 0.000 0.000
Tb 3.587 3.587 3.587
Zn 1.793 1.793 1.793
Zn 1.793 5.380 5.380
Zn 5.380 1.793 5.380
Zn 5.380 5.380 1.793
Ir 1.793 1.793 5.380
Ir 1.793 5.380 1.793
Ir 5.380 1.793 1.793
Ir 5.380 5.380 5.380
```

Calculated values
- M_tot: 0.000 Bohr magnetons per cell
- ΔE_f: -529 meV/atom

***

(9)
Computed, not measured: a geometry-optimized LaTc2Ir structure at the PBE-GGA level of DFT.

Structure (extended XYZ):
```
12
Lattice="2.886 0.000 0.000 -1.443 2.499 0.000 0.000 0.000 29.132" Properties=species:S:1:pos:R:3 pbc="T T T"
La 0.000 0.000 0.000
La 0.000 1.666 19.421
La 1.443 0.833 9.711
Tc 0.000 0.000 6.909
Tc 0.000 0.000 14.564
Tc 0.000 1.666 4.853
Tc 0.000 1.666 26.330
Tc 1.443 0.833 16.619
Tc 1.443 0.833 24.274
Ir 0.000 0.000 22.144
Ir 0.000 1.666 12.433
Ir 1.443 0.833 2.722
```

Calculated values
- M_tot: 0.494 Bohr magnetons per cell
- ΔE_f: 389 meV/atom

***

(10)
Computed, not measured: a geometry-optimized LaTc2Ir structure at the PBE-GGA level of DFT.

Structure (extended XYZ):
```
8
Lattice="9.795 0.000 0.000 0.000 2.983 0.000 -0.947 0.000 5.139" Properties=species:S:1:pos:R:3 pbc="T T T"
La 0.000 0.000 0.000
La 4.897 1.492 0.000
Tc 1.552 0.000 3.499
Tc 2.398 1.492 1.640
Tc 6.449 1.492 3.499
Tc 7.295 0.000 1.640
Ir -0.474 1.492 2.570
Ir 4.424 0.000 2.570
```

Calculated values
- M_tot: 0.001 Bohr magnetons per cell
- ΔE_f: 192 meV/atom

***

(11)
Computed, not measured: a geometry-optimized La2TcIr structure at the PBE-GGA level of DFT.

Structure (extended XYZ):
```
8
Lattice="4.580 0.000 0.000 0.000 4.654 0.000 0.000 0.000 9.954" Properties=species:S:1:pos:R:3 pbc="T T T"
La 0.000 0.000 0.000
La 0.000 2.327 4.977
La 2.290 0.000 2.959
La 2.290 2.327 7.936
Tc 0.000 0.000 6.858
Tc 0.000 2.327 1.881
Ir 2.290 0.000 5.957
Ir 2.290 2.327 0.980
```

Calculated values
- M_tot: 0.000 Bohr magnetons per cell
- ΔE_f: -232 meV/atom

***

(12)
Computed, not measured: a geometry-optimized LaTcIr structure at the PBE-GGA level of DFT.

Structure (extended XYZ):
```
3
Lattice="4.245 0.000 0.000 -2.122 3.676 0.000 0.000 0.000 4.526" Properties=species:S:1:pos:R:3 pbc="T T T"
La 0.000 0.000 0.000
Tc 2.122 1.225 2.263
Ir 0.000 2.451 2.263
```

Calculated values
- M_tot: 0.000 Bohr magnetons per cell
- ΔE_f: -173 meV/atom